## V4O7 (GGA+U)

Data for a relaxed structure of V4O7.

Summary:
raw total energy	-7.886	eV per atom
total moment	6.00	μB per formula unit

Cell: 5.679 6.933 7.108 Å, 64.46 69.93 74.94°
Positions (direct):
V1 0.184 0.091 0.259
V2 0.191 0.095 0.755
V3 0.284 0.620 0.586
V4 0.286 0.626 0.083
V5 0.714 0.374 0.917
V6 0.716 0.380 0.414
V7 0.809 0.905 0.245
V8 0.816 0.909 0.741
O1 0.019 0.171 0.524
O2 0.082 0.384 0.760
O3 0.178 0.778 0.795
O4 0.200 0.944 0.064
O5 0.358 0.333 0.090
O6 0.401 0.532 0.339
O7 0.482 0.888 0.365
O8 0.518 0.112 0.635
O9 0.599 0.468 0.661
O10 0.642 0.667 0.910
O11 0.800 0.056 0.936
O12 0.822 0.222 0.205
O13 0.918 0.616 0.240
O14 0.981 0.829 0.476